[1]
# Pr3SbPb

A relaxed Pr3SbPb crystal (PBE, the Alexandria database).

Geometry as extended XYZ:
```
10
Lattice="8.895 0.000 0.000 0.000 4.526 0.000 -4.429 0.000 9.127" Properties=species:S:1:pos:R:3 pbc="T T T"
Pr 1.546 1.131 0.074
Pr -1.064 1.131 5.734
Pr 1.140 3.394 3.216
Pr 3.325 1.131 5.911
Pr 5.529 3.394 3.393
Pr 2.919 3.394 9.053
Sb 1.091 3.394 6.424
Sb 3.374 1.131 2.703
Pb -3.300 3.394 6.827
Pb 7.766 1.131 2.300
```

## Properties
space group: P2_1/m
ΔE_f (raw): -0.621 eV/atom


[2]
# CaAlMo2

A relaxed CaAlMo2 crystal (PBE, the Alexandria database).

Geometry as extended XYZ:
```
4
Lattice="1.461 0.843 9.785 -1.461 0.843 9.785 0.000 -1.687 9.785" Properties=species:S:1:pos:R:3 pbc="T T T"
Ca 0.000 0.000 0.000
Al 0.000 0.000 14.678
Mo 0.000 0.000 7.091
Mo 0.000 0.000 22.265
```

## Properties
space group: R-3m
energy of formation: 207 kJ/mol of formula units


[3]
# Pm5Nd12Tm

A relaxed Pm5Nd12Tm crystal (PBE, the Alexandria database).

Geometry as extended XYZ:
```
18
Lattice="6.053 -8.716 0.000 6.053 8.716 0.000 -0.003 0.000 5.913" Properties=species:S:1:pos:R:3 pbc="T T T"
Pm 0.000 0.000 0.000
Pm 6.051 6.332 2.956
Pm 6.053 2.349 0.000
Pm 6.053 -2.349 0.000
Pm 6.051 -6.332 2.956
Nd 4.215 5.591 0.044
Nd 4.209 3.117 2.914
Nd 2.449 0.000 3.238
Nd 3.663 0.000 0.273
Nd 7.888 5.591 5.869
Nd 7.894 3.117 2.999
Nd 4.209 -3.117 2.914
Nd 4.215 -5.591 0.044
Nd 8.440 0.000 5.639
Nd 9.654 0.000 2.675
Nd 7.894 -3.117 2.999
Nd 7.888 -5.591 5.869
Tm 6.051 0.000 2.956
```

## Properties
space group: C2/m
energy of formation: 132 kJ/mol of formula units


[4]
# CeHoGeS

A relaxed CeHoGeS crystal (PBE, the Alexandria database).

Geometry as extended XYZ:
```
4
Lattice="2.047 1.182 6.631 -2.047 1.182 6.631 0.000 -2.363 6.631" Properties=species:S:1:pos:R:3 pbc="T T T"
Ce 0.000 0.000 0.000
Ho 0.000 0.000 9.989
Ge 0.000 0.000 14.957
S 0.000 0.000 4.928
```

## Properties
space group: R3m
ΔE_f (raw): -1.403 eV/atom


[5]
# TiZnS2N

A relaxed TiZnS2N crystal (PBE, the Alexandria database).

Geometry as extended XYZ:
```
5
Lattice="4.688 0.000 0.000 0.000 4.688 0.000 0.000 0.000 3.662" Properties=species:S:1:pos:R:3 pbc="T T T"
Ti 0.000 0.000 0.000
Zn 2.344 2.344 1.831
S 0.000 2.344 1.831
S 2.344 0.000 1.831
N 2.344 2.344 0.000
```

## Properties
space group: P4/mmm
ΔE_f (raw): 0.650 eV/atom
E above lowest polymorph: 67.5 kJ per mole of atoms


[6]
# Li2Ac2Si

A relaxed Li2Ac2Si crystal (PBE, the Alexandria database).

Geometry as extended XYZ:
```
5
Lattice="-1.963 1.963 9.851 1.963 -1.963 9.851 1.963 1.963 -9.851" Properties=species:S:1:pos:R:3 pbc="T T T"
Li 1.963 0.000 4.925
Li 0.000 1.963 4.925
Ac 0.000 0.000 1.704
Ac 0.000 0.000 17.998
Si 0.000 0.000 9.851
```

## Properties
space group: I4/mmm
ΔE_f (raw): -0.067 eV/atom


Number 1: D(E_F) 4.07 states/eV/f.u., magnetization 0.30 μB/atom. Number 2: D(E_F) 5.74 states/eV/f.u., magnetization 0.00 μB/atom. Number 3: D(E_F) 26.20 states/eV/f.u., magnetization 0.00 μB/atom. Number 4: D(E_F) 4.63 states/eV/f.u., magnetization 0.13 μB/atom. Number 5: D(E_F) 7.65 states/eV/f.u., magnetization 0.00 μB/atom. Number 6: D(E_F) 5.97 states/eV/f.u., magnetization 0.00 μB/atom.